# 1
KBa2Br: relaxed, PBE.

Lattice parameters (Å, degrees): 4.4092 4.4092 12.3296 90.00 90.00 114.58
Fractional coordinates of all 4 atoms:
K (0.0000, 0.0000, 0.0000)
Ba (0.0000, 0.0000, 0.3843)
Ba (0.5000, 0.5000, 0.6811)
Br (0.5000, 0.5000, 0.1943)

Properties
* total DFT energy (no corrections): -2.3839 eV/atom
* D(E_F): 0.965 states/eV/atom
* uncorrected formation energy: -2.92 eV per formula unit
* magnetization: 0.0 μB/f.u.
* space-group type: Cmm2

---

# 2
KBa2Br: relaxed, PBE.

Lattice parameters (Å, degrees): 8.1726 8.1726 8.1726 149.03 124.87 64.59
Fractional coordinates of all 4 atoms:
K (0.0000, 0.0000, 0.0000)
Ba (0.3103, 0.8103, 0.5000)
Ba (0.6897, 0.1897, 0.5000)
Br (0.5000, 0.5000, 0.0000)

Properties
* total DFT energy (no corrections): -2.3177 eV/atom
* D(E_F): 1.046 states/eV/atom
* uncorrected formation energy: -2.66 eV per formula unit
* magnetization: 0.0 μB/f.u.
* space-group type: Immm

---

# 3
KBaBr2: relaxed, PBE.

Lattice parameters (Å, degrees): 9.1853 9.1853 9.1853 28.06 28.06 28.06
Fractional coordinates of all 4 atoms:
K (0.0000, 0.0000, 0.0000)
Ba (0.5000, 0.5000, 0.5000)
Br (0.2552, 0.2552, 0.2552)
Br (0.7448, 0.7448, 0.7448)

Properties
* total DFT energy (no corrections): -3.2036 eV/atom
* D(E_F): 0.245 states/eV/atom
* uncorrected formation energy: -6.45 eV per formula unit
* magnetization: 0.7 μB/f.u.
* space-group type: R-3m

---

# 4
KBaBr2: relaxed, PBE.

Lattice parameters (Å, degrees): 5.9792 5.9792 5.9792 60.00 60.00 60.00
Fractional coordinates of all 4 atoms:
K (0.0000, 0.0000, 0.0000)
Ba (0.7500, 0.7500, 0.7500)
Br (0.2500, 0.2500, 0.2500)
Br (0.5000, 0.5000, 0.5000)

Properties
* total DFT energy (no corrections): -2.6011 eV/atom
* D(E_F): 0.688 states/eV/atom
* uncorrected formation energy: -4.04 eV per formula unit
* magnetization: 0.8 μB/f.u.
* space-group type: F-43m

---

# 5
K2BaBr: relaxed, PBE.

Lattice parameters (Å, degrees): 6.8644 6.8644 6.8644 60.00 60.00 60.00
Fractional coordinates of all 4 atoms:
K (0.2500, 0.2500, 0.2500)
K (0.7500, 0.7500, 0.7500)
Ba (0.0000, 0.0000, 0.0000)
Br (0.5000, 0.5000, 0.5000)

Properties
* total DFT energy (no corrections): -1.7097 eV/atom
* D(E_F): 1.728 states/eV/atom
* uncorrected formation energy: -1.05 eV per formula unit
* magnetization: 0.0 μB/f.u.
* space-group type: Fm-3m

---

# 6
KBa3Br7: relaxed, PBE.

Lattice parameters (Å, degrees): 9.5263 9.5263 10.7759 90.00 90.00 107.39
Fractional coordinates of all 22 atoms:
K (0.0005, 0.0005, 0.0000)
K (0.9995, 0.9995, 0.5000)
Ba (0.0075, 0.5371, 0.2495)
Ba (0.4629, 0.9925, 0.2505)
Ba (0.5003, 0.5003, 0.0000)
Ba (0.4997, 0.4997, 0.5000)
Ba (0.5371, 0.0075, 0.7505)
Ba (0.9925, 0.4629, 0.7495)
Br (0.1107, 0.8893, 0.2500)
Br (0.1207, 0.3694, 0.4815)
Br (0.1214, 0.3703, 0.0175)
Br (0.3591, 0.6409, 0.7500)
Br (0.3694, 0.1207, 0.5185)
Br (0.3703, 0.1214, 0.9825)
Br (0.3733, 0.6267, 0.2500)
Br (0.6267, 0.3733, 0.7500)
Br (0.6297, 0.8786, 0.4825)
Br (0.6306, 0.8793, 0.0185)
Br (0.6409, 0.3591, 0.2500)
Br (0.8786, 0.6297, 0.5175)
Br (0.8793, 0.6306, 0.9815)
Br (0.8893, 0.1107, 0.7500)

Properties
* total DFT energy (no corrections): -3.7865 eV/atom
* D(E_F): 0.000 states/eV/atom
* uncorrected formation energy: -23.08 eV per formula unit
* magnetization: 0.0 μB/f.u.
* space-group type: C222_1

---

# 7
K6BaBr8: relaxed, PBE.

Lattice parameters (Å, degrees): 9.5273 9.5273 9.5273 60.00 60.00 60.00
Fractional coordinates of all 15 atoms:
K (0.0000, 0.0000, 0.5000)
K (0.0000, 0.5000, 0.0000)
K (0.0000, 0.5000, 0.5000)
K (0.5000, 0.0000, 0.0000)
K (0.5000, 0.0000, 0.5000)
K (0.5000, 0.5000, 0.0000)
Ba (0.0000, 0.0000, 0.0000)
Br (0.2387, 0.2387, 0.7613)
Br (0.2387, 0.7613, 0.2387)
Br (0.2387, 0.7613, 0.7613)
Br (0.2500, 0.2500, 0.2500)
Br (0.7500, 0.7500, 0.7500)
Br (0.7613, 0.2387, 0.2387)
Br (0.7613, 0.2387, 0.7613)
Br (0.7613, 0.7613, 0.2387)

Properties
* total DFT energy (no corrections): -3.2859 eV/atom
* D(E_F): 0.000 states/eV/atom
* uncorrected formation energy: -27.40 eV per formula unit
* magnetization: 0.0 μB/f.u.
* space-group type: Fm-3m

---

# 8
KBaBr: relaxed, PBE.

Lattice parameters (Å, degrees): 5.4490 5.4490 11.8158 90.00 90.00 90.00
Fractional coordinates of all 6 atoms:
K (0.2500, 0.2500, 0.0892)
K (0.7500, 0.7500, 0.9108)
Ba (0.2500, 0.2500, 0.6587)
Ba (0.7500, 0.7500, 0.3413)
Br (0.2500, 0.7500, 0.5000)
Br (0.7500, 0.2500, 0.5000)

Properties
* total DFT energy (no corrections): -2.5499 eV/atom
* D(E_F): 0.621 states/eV/atom
* uncorrected formation energy: -2.96 eV per formula unit
* magnetization: 0.0 μB/f.u.
* space-group type: P4/nmm

---

# 9
K2BaBr: relaxed, PBE.

Lattice parameters (Å, degrees): 8.2086 8.2086 8.2086 148.72 123.85 65.69
Fractional coordinates of all 4 atoms:
K (0.0000, 0.0000, 0.0000)
K (0.6824, 0.1824, 0.5000)
Ba (0.3153, 0.8153, 0.5000)
Br (0.4907, 0.4907, 0.0000)

Properties
* total DFT energy (no corrections): -2.1220 eV/atom
* D(E_F): 0.867 states/eV/atom
* uncorrected formation energy: -2.70 eV per formula unit
* magnetization: 0.0 μB/f.u.
* space-group type: Imm2

---

# 10
K2BaBr: relaxed, PBE.

Lattice parameters (Å, degrees): 6.7205 6.7205 6.7205 60.00 60.00 60.00
Fractional coordinates of all 4 atoms:
K (0.0000, 0.0000, 0.0000)
K (0.2500, 0.2500, 0.2500)
Ba (0.5000, 0.5000, 0.5000)
Br (0.7500, 0.7500, 0.7500)

Properties
* total DFT energy (no corrections): -1.8064 eV/atom
* D(E_F): 1.158 states/eV/atom
* uncorrected formation energy: -1.43 eV per formula unit
* magnetization: 0.0 μB/f.u.
* space-group type: F-43m

---

# 11
KBa2Br: relaxed, PBE.

Lattice parameters (Å, degrees): 5.5751 5.5751 6.7778 90.00 90.00 90.00
Fractional coordinates of all 4 atoms:
K (0.0000, 0.0000, 0.0000)
Ba (0.0000, 0.5000, 0.5000)
Ba (0.5000, 0.0000, 0.5000)
Br (0.5000, 0.5000, 0.0000)

Properties
* total DFT energy (no corrections): -2.0209 eV/atom
* D(E_F): 1.394 states/eV/atom
* uncorrected formation energy: -1.47 eV per formula unit
* magnetization: 0.0 μB/f.u.
* space-group type: P4/mmm

---

# 12
K2BaBr: relaxed, PBE.

Lattice parameters (Å, degrees): 4.4352 4.2814 11.7133 90.00 100.88 90.00
Fractional coordinates of all 4 atoms:
K (0.0000, 0.0000, 0.0000)
K (0.3339, 0.5000, 0.6735)
Ba (0.6830, 0.0000, 0.3686)
Br (0.5672, 0.5000, 0.1342)

Properties
* total DFT energy (no corrections): -2.1797 eV/atom
* D(E_F): 0.524 states/eV/atom
* uncorrected formation energy: -2.93 eV per formula unit
* magnetization: 0.0 μB/f.u.
* space-group type: Pm

---

# 13
KBaBr: relaxed, PBE.

Lattice parameters (Å, degrees): 8.6416 8.6416 8.6416 151.83 151.83 40.27
Fractional coordinates of all 3 atoms:
K (0.0000, 0.0000, 0.0000)
Ba (0.7232, 0.7232, 0.0000)
Br (0.3322, 0.3322, 0.0000)

Properties
* total DFT energy (no corrections): -2.5170 eV/atom
* D(E_F): 0.706 states/eV/atom
* uncorrected formation energy: -2.86 eV per formula unit
* magnetization: 0.3 μB/f.u.
* space-group type: I4mm

---

# 14
K3BaBr: relaxed, PBE.

Lattice parameters (Å, degrees): 8.2344 8.2344 8.2344 90.00 90.00 90.00
Fractional coordinates of all 5 atoms:
K (0.0000, 0.0000, 0.5000)
K (0.0000, 0.5000, 0.0000)
K (0.5000, 0.0000, 0.0000)
Ba (0.0000, 0.0000, 0.0000)
Br (0.5000, 0.5000, 0.5000)

Properties
* total DFT energy (no corrections): -1.1958 eV/atom
* D(E_F): 0.246 states/eV/atom
* uncorrected formation energy: 0.91 eV per formula unit
* magnetization: 2.0 μB/f.u.
* space-group type: Pm-3m

---

# 15
KBa2Br: relaxed, PBE.

Lattice parameters (Å, degrees): 8.6795 8.6795 8.6795 103.42 103.42 122.40
Fractional coordinates of all 8 atoms:
K (0.0000, 0.0000, 0.0000)
K (0.7500, 0.2500, 0.5000)
Ba (0.2268, 0.6250, 0.1018)
Ba (0.3750, 0.4768, 0.6018)
Ba (0.5232, 0.1250, 0.8982)
Ba (0.8750, 0.7732, 0.3982)
Br (0.2500, 0.7500, 0.5000)
Br (0.5000, 0.5000, 0.0000)

Properties
* total DFT energy (no corrections): -2.2434 eV/atom
* D(E_F): 1.718 states/eV/atom
* uncorrected formation energy: -2.36 eV per formula unit
* magnetization: 0.9 μB/f.u.
* space-group type: I-42d

---

# 16
K12Ba3Br5: relaxed, PBE.

Lattice parameters (Å, degrees): 19.0682 19.0682 19.0682 109.47 109.47 109.47
Fractional coordinates of all 80 atoms:
K (0.0004, 0.1853, 0.0919)
K (0.0004, 0.3151, 0.9085)
K (0.9996, 0.6849, 0.0915)
K (0.9996, 0.8147, 0.9081)
K (0.0919, 0.0004, 0.1853)
K (0.0915, 0.9996, 0.6849)
K (0.0915, 0.5919, 0.4066)
K (0.0919, 0.5915, 0.9066)
K (0.0934, 0.6853, 0.6849)
K (0.0934, 0.9081, 0.4085)
K (0.1853, 0.0919, 0.0004)
K (0.1849, 0.1853, 0.5934)
K (0.1849, 0.4996, 0.5915)
K (0.1853, 0.5934, 0.1849)
K (0.3147, 0.3151, 0.9066)
K (0.3147, 0.4996, 0.4081)
K (0.3151, 0.9066, 0.3147)
K (0.3151, 0.9085, 0.0004)
K (0.4066, 0.0915, 0.5919)
K (0.4066, 0.8151, 0.8147)
K (0.4085, 0.0934, 0.9081)
K (0.4081, 0.3147, 0.4996)
K (0.4081, 0.5934, 0.9085)
K (0.4085, 0.8151, 0.5004)
K (0.4996, 0.4081, 0.3147)
K (0.5004, 0.4085, 0.8151)
K (0.4996, 0.5915, 0.1849)
K (0.5004, 0.5919, 0.6853)
K (0.5915, 0.1849, 0.4996)
K (0.5919, 0.4066, 0.0915)
K (0.5919, 0.6853, 0.5004)
K (0.5915, 0.9066, 0.0919)
K (0.5934, 0.1849, 0.1853)
K (0.5934, 0.9085, 0.4081)
K (0.6849, 0.0915, 0.9996)
K (0.6849, 0.0934, 0.6853)
K (0.6853, 0.5004, 0.5919)
K (0.6853, 0.6849, 0.0934)
K (0.8147, 0.4066, 0.8151)
K (0.8151, 0.5004, 0.4085)
K (0.8151, 0.8147, 0.4066)
K (0.8147, 0.9081, 0.9996)
K (0.9066, 0.0919, 0.5915)
K (0.9066, 0.3147, 0.3151)
K (0.9085, 0.0004, 0.3151)
K (0.9081, 0.9996, 0.8147)
K (0.9081, 0.4085, 0.0934)
K (0.9085, 0.4081, 0.5934)
Ba (0.1250, 0.2500, 0.3750)
Ba (0.1250, 0.3750, 0.7500)
Ba (0.2500, 0.3750, 0.1250)
Ba (0.2500, 0.8750, 0.6250)
Ba (0.3750, 0.1250, 0.2500)
Ba (0.3750, 0.7500, 0.1250)
Ba (0.6250, 0.2500, 0.8750)
Ba (0.6250, 0.8750, 0.7500)
Ba (0.7500, 0.1250, 0.3750)
Ba (0.7500, 0.6250, 0.8750)
Ba (0.8750, 0.6250, 0.2500)
Ba (0.8750, 0.7500, 0.6250)
Br (0.0000, 0.0000, 0.0000)
Br (0.0000, 0.0000, 0.5000)
Br (0.0000, 0.5000, 0.0000)
Br (0.0000, 0.5000, 0.5000)
Br (0.1250, 0.7500, 0.8750)
Br (0.1250, 0.8750, 0.2500)
Br (0.2500, 0.1250, 0.8750)
Br (0.2500, 0.6250, 0.3750)
Br (0.3750, 0.2500, 0.6250)
Br (0.3750, 0.6250, 0.7500)
Br (0.5000, 0.0000, 0.0000)
Br (0.5000, 0.0000, 0.5000)
Br (0.5000, 0.5000, 0.0000)
Br (0.5000, 0.5000, 0.5000)
Br (0.6250, 0.3750, 0.2500)
Br (0.6250, 0.7500, 0.3750)
Br (0.7500, 0.3750, 0.6250)
Br (0.7500, 0.8750, 0.1250)
Br (0.8750, 0.1250, 0.7500)
Br (0.8750, 0.2500, 0.1250)

Properties
* total DFT energy (no corrections): -1.9586 eV/atom
* D(E_F): 0.876 states/eV/atom
* uncorrected formation energy: -11.87 eV per formula unit
* magnetization: 2.6 μB/f.u.
* space-group type: Ia-3d

---

# 17
K4BaBr: relaxed, PBE.

Lattice parameters (Å, degrees): 8.2077 8.2077 8.2077 60.00 60.00 60.00
Fractional coordinates of all 6 atoms:
K (0.3756, 0.3756, 0.3756)
K (0.3756, 0.3756, 0.8732)
K (0.3756, 0.8732, 0.3756)
K (0.8732, 0.3756, 0.3756)
Ba (0.0000, 0.0000, 0.0000)
Br (0.7500, 0.7500, 0.7500)

Properties
* total DFT energy (no corrections): -1.4662 eV/atom
* D(E_F): 0.571 states/eV/atom
* uncorrected formation energy: -0.81 eV per formula unit
* magnetization: 0.0 μB/f.u.
* space-group type: F-43m

---

# 18
KBa2Br: relaxed, PBE.

Lattice parameters (Å, degrees): 8.4154 8.4154 8.4154 142.85 142.85 53.56
Fractional coordinates of all 4 atoms:
K (0.0000, 0.0000, 0.0000)
Ba (0.2500, 0.7500, 0.5000)
Ba (0.5000, 0.5000, 0.0000)
Br (0.7500, 0.2500, 0.5000)

Properties
* total DFT energy (no corrections): -2.0659 eV/atom
* D(E_F): 1.076 states/eV/atom
* uncorrected formation energy: -1.65 eV per formula unit
* magnetization: 0.0 μB/f.u.
* space-group type: I-4m2

---

# 19
KBa2Br: relaxed, PBE.

Lattice parameters (Å, degrees): 7.7626 7.7626 7.7626 136.72 136.72 62.87
Fractional coordinates of all 4 atoms:
K (0.0000, 0.0000, 0.0000)
Ba (0.2500, 0.7500, 0.5000)
Ba (0.7500, 0.2500, 0.5000)
Br (0.5000, 0.5000, 0.0000)

Properties
* total DFT energy (no corrections): -2.0502 eV/atom
* D(E_F): 1.016 states/eV/atom
* uncorrected formation energy: -1.58 eV per formula unit
* magnetization: 0.0 μB/f.u.
* space-group type: I4/mmm

---

# 20
KBaBr2: relaxed, PBE.

Lattice parameters (Å, degrees): 9.2783 9.2783 9.2783 131.61 131.61 70.85
Fractional coordinates of all 8 atoms:
K (0.0000, 0.0000, 0.0000)
K (0.7500, 0.2500, 0.5000)
Ba (0.2500, 0.7500, 0.5000)
Ba (0.5000, 0.5000, 0.0000)
Br (0.1369, 0.6250, 0.0119)
Br (0.3750, 0.3869, 0.5119)
Br (0.6131, 0.1250, 0.9881)
Br (0.8750, 0.8631, 0.4881)

Properties
* total DFT energy (no corrections): -3.0672 eV/atom
* D(E_F): 1.324 states/eV/atom
* uncorrected formation energy: -5.90 eV per formula unit
* magnetization: 0.5 μB/f.u.
* space-group type: I-42d

---

Number 1: mass density 3.00 g/cm³. Number 2: mass density 2.87 g/cm³. Number 3: mass density 3.69 g/cm³. Number 4: mass density 3.69 g/cm³. Number 5: mass density 2.14 g/cm³. Number 6: mass density 3.60 g/cm³. Number 7: mass density 2.75 g/cm³. Number 8: mass density 2.43 g/cm³. Number 9: mass density 2.08 g/cm³. Number 10: mass density 2.29 g/cm³. Number 11: mass density 3.10 g/cm³. Number 12: mass density 2.25 g/cm³. Number 13: mass density 2.96 g/cm³. Number 14: mass density 0.99 g/cm³. Number 15: mass density 2.70 g/cm³. Number 16: mass density 1.59 g/cm³. Number 17: mass density 1.59 g/cm³. Number 18: mass density 3.03 g/cm³. Number 19: mass density 3.01 g/cm³. Number 20: mass density 2.55 g/cm³.